Entry 1:
Here is a relaxed PmBr2F crystal from Alexandria via LeMat-Bulk. Energies are from PBE.

Formation energy from raw total energies: -9.2 eV per formula unit
ΔE to the lowest computed polymorph: 344.0 meV/atom
SG: Fmmm

Cell: 6.702 6.702 6.260 Å, 117.28 117.28 98.26°
Fractional positions:
Br 0.682 0.682 0.000
Br 0.250 0.750 0.500
Pm 0.204 0.204 0.407
F 0.129 0.871 0.000
Br 0.318 0.318 0.000
Pm 0.796 0.796 0.593
F 0.871 0.129 0.000
Br 0.750 0.250 0.500

=====

Entry 2:
Here is a relaxed TcSnH2W crystal from Alexandria via LeMat-Bulk. Energies are from PBE.

ΔE to the lowest computed polymorph: 119.5 meV/atom
SG: Pm

Cell: 3.015 3.034 6.563 Å, 90.00 90.79 90.00°
Fractional positions:
W 0.506 0.000 0.635
Tc 0.002 0.500 0.891
Sn 0.534 0.500 0.258
H 0.023 0.500 0.611
H 0.390 0.000 0.919

=====

Entry 3:
Here is a relaxed TbPrYHo3 crystal from Alexandria via LeMat-Bulk. Energies are from PBE.

E_form: 12 kJ/mol of atoms
SG: Cmcm

Cell: 5.782 6.512 11.530 Å, 90.00 90.00 116.36°
Fractional positions:
Pr 0.525 0.049 0.750
Ho 0.325 0.651 0.524
Tb 0.000 0.000 0.000
Ho 0.147 0.293 0.750
Y 0.172 0.344 0.250
Pr 0.475 0.951 0.250
Y 0.828 0.656 0.750
Ho 0.675 0.349 0.024
Ho 0.325 0.651 0.976
Ho 0.853 0.707 0.250
Ho 0.675 0.349 0.476
Tb 0.000 0.000 0.500

=====

Entry 4:
Here is a relaxed VTcN3 crystal from Alexandria via LeMat-Bulk. Energies are from PBE.

Formation energy from raw total energies: 4.0 eV per formula unit
SG: Pm-3m

Cell: 3.868 3.868 3.868 Å, 90.00 90.00 90.00°
Fractional positions:
N 0.000 0.500 0.000
V 0.500 0.500 0.500
Tc 0.000 0.000 0.000
N 0.000 0.000 0.500
N 0.500 0.000 0.000

=====

Entry 5:
Here is a relaxed Pu2HfThP4 crystal from Alexandria via LeMat-Bulk. Energies are from PBE.

E_form: -124 kJ/mol of atoms
SG: P2/m

Cell: 3.977 6.899 6.821 Å, 109.44 90.00 90.00°
Fractional positions:
Pu 0.000 0.500 0.500
Pu 0.500 0.000 0.500
P 0.000 0.232 0.749
P 0.500 0.231 0.241
Hf 0.000 0.000 0.000
Th 0.500 0.500 0.000
P 0.500 0.769 0.759
P 0.000 0.768 0.251

=====

Entry 6:
Here is a relaxed NdAgHg crystal from Alexandria via LeMat-Bulk. Energies are from PBE.

E_form: -36 kJ/mol of atoms
SG: P-6m2

Cell: 3.458 4.959 4.959 Å, 120.00 90.00 90.00°
Fractional positions:
Ag 0.167 0.333 0.667
Hg 0.167 0.000 0.000
Nd 0.667 0.667 0.333

=====

Entry 7:
Here is a relaxed La3Pr4SmSe8 crystal from Alexandria via LeMat-Bulk. Energies are from PBE.

Formation energy from raw total energies: -30.4 eV per formula unit
SG: R-3m

Cell: 8.553 8.541 8.551 Å, 120.03 120.01 90.00°
Fractional positions:
Pr 0.000 0.000 0.500
Pr 0.000 0.000 0.000
La 0.500 0.500 0.000
Se 0.753 0.252 0.505
La 0.500 0.500 0.500
Pr 0.500 0.000 0.500
Pr 0.500 0.000 0.000
Se 0.246 0.252 0.999
Se 0.754 0.748 0.001
Se 0.250 0.248 0.499
Se 0.247 0.748 0.495
Se 0.750 0.752 0.501
La 0.000 0.500 0.500
Sm 0.000 0.500 0.000
Se 0.247 0.748 0.001
Se 0.753 0.252 0.999

=====

Entry 8:
Here is a relaxed LiY4Bi4O12 crystal from Alexandria via LeMat-Bulk. Energies are from PBE.

Formation energy from raw total energies: -45.6 eV per formula unit
ΔE to the lowest computed polymorph: 35.3 meV/atom
SG: Pm

Cell: 10.098 5.598 5.923 Å, 89.92 90.00 90.00°
Fractional positions:
O 0.864 0.202 0.252
O 0.859 0.291 0.746
O 0.644 0.767 0.778
O 0.000 0.689 0.149
O 0.500 0.239 0.763
Y 0.000 0.045 0.932
O 0.136 0.202 0.252
Y 0.500 0.566 0.539
Y 0.000 0.452 0.486
Bi 0.774 0.520 0.027
Bi 0.693 0.069 0.515
Bi 0.307 0.069 0.515
Y 0.500 0.949 0.026
O 0.000 0.806 0.644
O 0.356 0.767 0.778
O 0.359 0.759 0.290
O 0.641 0.759 0.290
Bi 0.226 0.520 0.027
O 0.500 0.232 0.303
Li 0.000 0.953 0.370
O 0.141 0.291 0.746

=====

Calculated size of the total moment (μB per cell), listed in the same order as above: 0.00; 0.00; 0.00; 1.88; 10.58; 0.08; 0.00; 0.00